# 1
This record from the Alexandria database describes Pr5YGa6 after structural relaxation. The functional is PBE.

Lattice parameters (Å, degrees): 16.557 7.387 5.235 90.00 108.30 90.00
Space group C2/m (No. 12)
Symmetry-distinct sites (fractional):
1 Pr 0.000 0.000 0.000 [2 per cell]
2 Pr 0.164 0.000 0.664 [4 per cell]
3 Pr 0.173 0.500 0.672 [4 per cell]
4 Y 0.000 0.500 0.000 [2 per cell]
5 Ga 0.000 0.266 0.500 [4 per cell]
6 Ga 0.163 0.258 0.163 [8 per cell]

Final energy: -4.595 eV/atom
Theoretical density: 6.6 g/cm3
Calculated formation energy: -0.55 eV/atom

# 2
This record from the Alexandria database describes ReC after structural relaxation. The functional is PBE.

Lattice parameters (Å, degrees): 2.972 2.972 9.810 90.00 90.00 90.00
Space group I4_1/amd (No. 141, origin choice 2)
Symmetry-distinct sites (fractional):
1 Re 0.000 0.250 0.375 [4 per cell]
2 C 0.000 0.250 0.875 [4 per cell]

Final energy: -9.892 eV/atom
Theoretical density: 15.2 g/cm3
Excess energy over the best structure of this formula in the dataset: 704 meV per atom
Calculated formation energy: 0.94 eV/atom

- What is the formula in the second record?
  ReC

- Which value of theoretical density does entry 1 give?
  6.6 g/cm3

- Which value of calculated formation energy does entry 1 give?
  -0.55 eV/atom

- Which formula does entry 2 have?
  ReC